# 1
## La2NdAgTe5 (PBE-GGA)

Data for a relaxed La2NdAgTe5 crystal.

CIF file:
```
data_La2NdAgTe5
_cell_length_a 4.4850
_cell_length_b 19.2232
_cell_length_c 13.4524
_cell_angle_alpha 90.00
_cell_angle_beta 90.00
_cell_angle_gamma 90.00
_symmetry_space_group_name_H-M 'C m c 21'
_symmetry_Int_Tables_number 36
loop_
_symmetry_equiv_pos_as_xyz
'x,y,z'
'-x,-y,z+1/2'
'-x,y,z'
'x,-y,z+1/2'
'x+1/2,y+1/2,z'
'-x+1/2,-y+1/2,z+1/2'
'-x+1/2,y+1/2,z'
'x+1/2,-y+1/2,z+1/2'
loop_
_atom_site_label
_atom_site_fract_x
_atom_site_fract_y
_atom_site_fract_z
La1 0.0000 0.1114 0.0000
La2 0.0000 0.1228 0.6226
Nd1 0.0000 0.1935 0.3235
Ag1 0.0000 0.4333 0.7726
Te1 0.0000 0.0412 0.3879
Te2 0.0000 0.2889 0.9878
Te3 0.0000 0.3079 0.6542
Te4 0.0000 0.3601 0.3146
Te5 0.0000 0.4990 0.0900
```

Summary:
Its total energy is -4.98 eV/atom. The density of states at the Fermi level comes out at 0.07 states/eV/f.u. As for the crystal system: orthorhombic. The calculation puts the raw formation energy at -1.2931 eV/atom. The value obtained for the density is 6689 kg/m³.


# 2
## LaNd2Tl2Ag2 (PBE-GGA)

Data for a relaxed LaNd2Tl2Ag2 crystal.

CIF file:
```
data_LaNd2Tl2Ag2
_cell_length_a 4.9863
_cell_length_b 4.9863
_cell_length_c 27.8030
_cell_angle_alpha 90.00
_cell_angle_beta 90.00
_cell_angle_gamma 120.00
_symmetry_space_group_name_H-M 'R -3 m'
_symmetry_Int_Tables_number 166
_symmetry_space_group_name_Hall '-R 3 2"'
loop_
_atom_site_label
_atom_site_fract_x
_atom_site_fract_y
_atom_site_fract_z
La1 0.0000 0.0000 0.0000
Nd1 0.0000 0.0000 0.1257
Tl1 0.0000 0.0000 0.2594
Ag1 0.0000 0.0000 0.4017
```

Summary:
Its total energy is -3.79 eV/atom. The density of states at the Fermi level comes out at 4.76 states/eV/f.u. As for the crystal system: trigonal. Its formation energy is -1.6 eV/f.u. The value obtained for the density is 8753 kg/m³.


# 3
## La2NdTl2Ag2 (PBE-GGA)

Data for a relaxed La2NdTl2Ag2 crystal.

CIF file:
```
data_La2NdTl2Ag2
_cell_length_a 4.9879
_cell_length_b 4.9879
_cell_length_c 27.7547
_cell_angle_alpha 90.00
_cell_angle_beta 90.00
_cell_angle_gamma 120.00
_symmetry_space_group_name_H-M 'R -3 m'
_symmetry_Int_Tables_number 166
_symmetry_space_group_name_Hall '-R 3 2"'
loop_
_atom_site_label
_atom_site_fract_x
_atom_site_fract_y
_atom_site_fract_z
La1 0.0000 0.0000 0.1258
Nd1 0.0000 0.0000 0.0000
Tl1 0.0000 0.0000 0.2637
Ag1 0.0000 0.0000 0.3939
```

Summary:
Its total energy is -3.82 eV/atom. The density of states at the Fermi level comes out at 5.81 states/eV/f.u. As for the crystal system: trigonal. Its formation energy is -1.7 eV/f.u. The value obtained for the density is 8718 kg/m³.


# 4
## LaNdYAg (PBE-GGA)

Data for a relaxed LaNdYAg crystal.

CIF file:
```
data_LaNdYAg
_cell_length_a 3.7157
_cell_length_b 3.7157
_cell_length_c 8.8643
_cell_angle_alpha 90.00
_cell_angle_beta 90.00
_cell_angle_gamma 90.00
_symmetry_space_group_name_H-M 'P 4 m m'
_symmetry_Int_Tables_number 99
loop_
_symmetry_equiv_pos_as_xyz
'x,y,z'
'-y,x,z'
'-x,-y,z'
'y,-x,z'
'-x,y,z'
'y,x,z'
'x,-y,z'
'-y,-x,z'
loop_
_atom_site_label
_atom_site_fract_x
_atom_site_fract_y
_atom_site_fract_z
La1 0.0000 0.0000 0.0000
Nd1 0.5000 0.5000 0.2954
Y1 0.0000 0.0000 0.5780
Ag1 0.5000 0.5000 0.7676
```

Summary:
Its total energy is -4.88 eV/atom. The density of states at the Fermi level comes out at 6.04 states/eV/f.u. As for the crystal system: tetragonal. Its formation energy is -0.5 eV/f.u. The value obtained for the density is 6512 kg/m³.